# 1
ScSeBr2F | PBE | relaxed

a b c (Å): 5.313 5.313 4.005
angles (deg): 90.00 90.00 90.00
Sites, in units of the cell vectors:
Sc 0.000 0.000 0.000
Se 0.500 0.500 0.000
Br 0.000 0.500 0.500
Br 0.500 0.000 0.500
F 0.500 0.500 0.500

Results
E_tot = -0.251 Ry per atom
V = 22.61 Å³ per atom
Polymorph energy (0 for the lowest one) = 0.446 eV/atom

# 2
ScTlBr2F | PBE | relaxed

a b c (Å): 5.664 5.664 4.118
angles (deg): 90.00 90.00 90.00
Sites, in units of the cell vectors:
Sc 0.000 0.000 0.000
Tl 0.500 0.500 0.500
Br 0.000 0.500 0.000
Br 0.500 0.000 0.000
F 0.000 0.000 0.500

Results
E_tot = -0.333 Ry per atom
V = 26.42 Å³ per atom

# 3
SeBrF | PBE | relaxed

a b c (Å): 5.893 8.190 7.494
angles (deg): 90.00 96.04 90.00
Sites, in units of the cell vectors:
Se 0.169 0.013 0.408
Se 0.169 0.487 0.908
Se 0.831 0.513 0.092
Se 0.831 0.987 0.592
Br 0.490 0.147 0.681
Br 0.490 0.353 0.181
Br 0.510 0.647 0.819
Br 0.510 0.853 0.319
F 0.003 0.086 0.778
F 0.003 0.414 0.278
F 0.997 0.586 0.722
F 0.997 0.914 0.222

Results
E_tot = -0.217 Ry per atom
V = 29.97 Å³ per atom
Polymorph energy (0 for the lowest one) = 0.000 eV/atom

# 4
Se2BrF | PBE | relaxed

a b c (Å): 9.297 9.297 9.297
angles (deg): 151.47 151.47 40.79
Sites, in units of the cell vectors:
Se 0.375 0.249 0.374
Se 0.751 0.125 0.126
Se 0.875 0.001 0.626
Se 0.999 0.625 0.874
Br 0.250 0.750 0.500
Br 0.500 0.500 0.000
F 0.000 0.000 0.000
F 0.750 0.250 0.500

Results
E_tot = -0.192 Ry per atom
V = 22.86 Å³ per atom
Polymorph energy (0 for the lowest one) = 0.474 eV/atom

# 5
Se2BrF | PBE | relaxed

a b c (Å): 4.731 4.731 4.731
angles (deg): 60.00 60.00 60.00
Sites, in units of the cell vectors:
Se 0.250 0.250 0.250
Se 0.750 0.750 0.750
Br 0.000 0.000 0.000
F 0.500 0.500 0.500

Results
E_tot = -0.163 Ry per atom
V = 18.72 Å³ per atom
Polymorph energy (0 for the lowest one) = 0.873 eV/atom

# 6
SeBrF3 | PBE | relaxed

a b c (Å): 7.665 4.945 5.762
angles (deg): 90.00 90.00 90.00
Sites, in units of the cell vectors:
Se 0.000 0.006 0.000
Se 0.500 0.994 0.500
Br 0.000 0.367 0.707
Br 0.500 0.633 0.207
F 0.000 0.771 0.246
F 0.175 0.168 0.140
F 0.325 0.832 0.640
F 0.500 0.229 0.746
F 0.675 0.832 0.640
F 0.825 0.168 0.140

Results
E_tot = -0.249 Ry per atom
V = 21.84 Å³ per atom
Polymorph energy (0 for the lowest one) = 0.000 eV/atom

# 7
Se2BrF | PBE | relaxed

a b c (Å): 7.201 6.883 11.214
angles (deg): 90.00 119.07 90.00
Sites, in units of the cell vectors:
Se 0.119 0.135 0.006
Se 0.119 0.365 0.506
Se 0.378 0.626 0.493
Se 0.378 0.874 0.993
Se 0.622 0.126 0.007
Se 0.622 0.374 0.507
Se 0.881 0.635 0.494
Se 0.881 0.865 0.994
Br 0.383 0.241 0.271
Br 0.383 0.259 0.771
Br 0.617 0.741 0.229
Br 0.617 0.759 0.729
F 0.086 0.682 0.993
F 0.086 0.818 0.493
F 0.914 0.182 0.507
F 0.914 0.318 0.007

Results
E_tot = -0.227 Ry per atom
V = 30.36 Å³ per atom
Polymorph energy (0 for the lowest one) = 0.000 eV/atom

# 8
SeBrF2 | PBE | relaxed

a b c (Å): 10.314 10.314 10.314
angles (deg): 16.77 16.77 16.77
Sites, in units of the cell vectors:
Se 0.000 0.000 0.000
Br 0.500 0.500 0.500
F 0.061 0.061 0.061
F 0.939 0.939 0.939

Results
E_tot = -0.216 Ry per atom
V = 19.91 Å³ per atom
Polymorph energy (0 for the lowest one) = 0.000 eV/atom

# 9
Se2BrF | PBE | relaxed

a b c (Å): 9.131 9.131 9.131
angles (deg): 20.13 20.13 20.13
Sites, in units of the cell vectors:
Se 0.095 0.095 0.095
Se 0.905 0.905 0.905
Br 0.000 0.000 0.000
F 0.500 0.500 0.500

Results
E_tot = -0.185 Ry per atom
V = 19.72 Å³ per atom
Polymorph energy (0 for the lowest one) = 0.571 eV/atom

# 10
SeBrF2 | PBE | relaxed

a b c (Å): 7.816 7.816 7.816
angles (deg): 146.62 146.62 47.92
Sites, in units of the cell vectors:
Se 0.000 0.000 0.000
Se 0.750 0.250 0.500
Br 0.250 0.750 0.500
Br 0.500 0.500 0.000
F 0.375 0.193 0.318
F 0.807 0.125 0.182
F 0.875 0.057 0.682
F 0.943 0.625 0.818

Results
E_tot = -0.192 Ry per atom
V = 17.99 Å³ per atom
Polymorph energy (0 for the lowest one) = 0.326 eV/atom

# 11
SeBrF3 | PBE | relaxed

a b c (Å): 4.517 4.517 4.517
angles (deg): 90.00 90.00 90.00
Sites, in units of the cell vectors:
Se 0.000 0.000 0.000
Br 0.500 0.500 0.500
F 0.000 0.500 0.500
F 0.500 0.000 0.500
F 0.500 0.500 0.000

Results
E_tot = -0.162 Ry per atom
V = 18.44 Å³ per atom
Polymorph energy (0 for the lowest one) = 1.175 eV/atom

# 12
SeBrF2 | PBE | relaxed

a b c (Å): 9.482 9.482 9.482
angles (deg): 18.60 18.60 18.60
Sites, in units of the cell vectors:
Se 0.000 0.000 0.000
Br 0.500 0.500 0.500
F 0.432 0.432 0.432
F 0.568 0.568 0.568

Results
E_tot = -0.183 Ry per atom
V = 18.94 Å³ per atom
Polymorph energy (0 for the lowest one) = 0.440 eV/atom

Q: What is the V in the eleventh record?
A: 18.44 Å³ per atom